No. 1
This record from Alexandria describes an optimized crystal structure of Pa2Ni3Ge. The functional is PBE-GGA.

Calculated values
For the electronic total energy, the calculation gives -0.26937 Ha/atom. The calculation puts the formation energy at -0.504 eV/atom.

Cell: 6.5192 8.5470 14.7112 Å, 90.00 90.00 90.00°
Space group Fmmm (No. 69)
Unique sites:
1 Pa 0.2220 0.0000 0.0000 (multiplicity 8)
2 Pa 0.2500 0.2500 0.2500 (multiplicity 8)
3 Ni 0.0000 0.0000 0.1712 (multiplicity 8)
4 Ni 0.0000 0.2451 0.4149 (multiplicity 16)
5 Ge 0.0000 0.0000 0.3372 (multiplicity 8)

No. 2
This record from Alexandria describes an optimized crystal structure of NaHf2NbBr. The functional is PBE-GGA.

Calculated values
For the electronic total energy, the calculation gives -0.17407 Ha/atom. For the formation energy without anion corrections, the calculation gives 1.8571 eV per atom.

Cell: 5.1111 5.1111 4.7201 Å, 90.00 90.00 90.00°
Space group P4/mmm (No. 123)
Unique sites:
1 Na 0.0000 0.0000 0.0000 (multiplicity 1)
2 Hf 0.0000 0.5000 0.0000 (multiplicity 2)
3 Nb 0.0000 0.0000 0.5000 (multiplicity 1)
4 Br 0.5000 0.5000 0.5000 (multiplicity 1)

No. 3
This record from Alexandria describes an optimized crystal structure of Ba2CaCd. The functional is PBE-GGA.

Calculated values
For the electronic total energy, the calculation gives -0.06742 Ha/atom. The calculation puts the formation energy at -0.144 eV/atom.

Cell: 4.1707 4.1707 10.4112 Å, 90.00 90.00 90.00°
Space group P4mm (No. 99)
Unique sites:
1 Ba 0.0000 0.0000 0.0000 (multiplicity 1)
2 Ba 0.5000 0.5000 0.3454 (multiplicity 1)
3 Ca 0.0000 0.0000 0.6344 (multiplicity 1)
4 Cd 0.5000 0.5000 0.7858 (multiplicity 1)

No. 4
This record from Alexandria describes an optimized crystal structure of HfMg14Si. The functional is PBE-GGA.

Calculated values
For the electronic total energy, the calculation gives -0.08481 Ha/atom. For the formation energy without anion corrections, the calculation gives 0.0486 eV per atom.

Cell: 6.3474 6.3474 10.0289 Å, 90.00 90.00 120.00°
Space group P-6m2 (No. 187)
Unique sites:
1 Hf 0.0000 0.0000 0.0000 (multiplicity 1)
2 Mg 0.0101 0.5051 0.0000 (multiplicity 3)
3 Mg 0.1596 0.3192 0.2561 (multiplicity 6)
4 Mg 0.5026 0.0051 0.5000 (multiplicity 3)
5 Mg 0.6667 0.3333 0.2418 (multiplicity 2)
6 Si 0.0000 0.0000 0.5000 (multiplicity 1)

No. 5
This record from Alexandria describes an optimized crystal structure of PbBrF. The functional is PBE-GGA.

Calculated values
For the electronic total energy, the calculation gives -0.14774 Ha/atom. For the formation energy without anion corrections, the calculation gives -1.6028 eV per atom.

Cell: 4.2782 4.2782 4.5451 Å, 90.00 90.00 120.00°
Space group P3m1 (No. 156)
Unique sites:
1 Pb 0.0000 0.0000 0.0000 (multiplicity 1)
2 Br 0.6667 0.3333 0.5012 (multiplicity 1)
3 F 0.3333 0.6667 0.0012 (multiplicity 1)

No. 6
This record from Alexandria describes an optimized crystal structure of Tb9Nd2In. The functional is PBE-GGA.

Calculated values
For the electronic total energy, the calculation gives -0.16753 Ha/atom. The calculation puts the formation energy at -0.063 eV/atom.

Cell: 4.9809 4.9809 15.2097 Å, 90.00 90.00 90.00°
Space group P4/mmm (No. 123)
Unique sites:
1 Tb 0.0000 0.0000 0.0000 (multiplicity 1)
2 Tb 0.0000 0.0000 0.3273 (multiplicity 2)
3 Tb 0.0000 0.5000 0.1596 (multiplicity 4)
4 Tb 0.0000 0.5000 0.5000 (multiplicity 2)
5 Nd 0.5000 0.5000 0.3315 (multiplicity 2)
6 In 0.5000 0.5000 0.0000 (multiplicity 1)

No. 7
This record from Alexandria describes an optimized crystal structure of CaDy2TmAs4. The functional is PBE-GGA.

Calculated values
For the electronic total energy, the calculation gives -0.20747 Ha/atom. The calculation puts the formation energy at -1.361 eV/atom.

Cell: 7.1612 4.1187 7.1793 Å, 90.00 109.30 90.00°
Space group P2/m (No. 10)
Unique sites:
1 Ca 0.0000 0.0000 0.0000 (multiplicity 1)
2 Dy 0.5000 0.0000 0.5000 (multiplicity 1)
3 Dy 0.5000 0.5000 0.0000 (multiplicity 1)
4 Tm 0.0000 0.5000 0.5000 (multiplicity 1)
5 As 0.2501 0.0000 0.7450 (multiplicity 2)
6 As 0.2552 0.5000 0.2578 (multiplicity 2)

No. 8
This record from Alexandria describes an optimized crystal structure of Ba3PrF9. The functional is PBE-GGA.

Calculated values
For the electronic total energy, the calculation gives -0.22052 Ha/atom. For the formation energy without anion corrections, the calculation gives -3.8938 eV per atom.

Cell: 4.2205 4.3509 14.6514 Å, 91.43 97.44 118.24°
Space group P1 (No. 1)
Unique sites:
1 Ba 0.0000 0.0000 0.0000 (multiplicity 1)
2 Ba 0.0078 0.4763 0.4829 (multiplicity 1)
3 Ba 0.5042 0.2386 0.7416 (multiplicity 1)
4 Pr 0.4967 0.6593 0.2294 (multiplicity 1)
5 F 0.1280 0.5532 0.6711 (multiplicity 1)
6 F 0.1506 0.0335 0.2211 (multiplicity 1)
7 F 0.3698 0.6860 0.0662 (multiplicity 1)
8 F 0.3779 0.1557 0.5447 (multiplicity 1)
9 F 0.6206 0.3146 0.9245 (multiplicity 1)
10 F 0.6232 0.7849 0.4009 (multiplicity 1)
11 F 0.7314 0.3788 0.1327 (multiplicity 1)
12 F 0.8766 0.9208 0.8064 (multiplicity 1)
13 F 0.8997 0.4247 0.3046 (multiplicity 1)

No. 9
This record from Alexandria describes an optimized crystal structure of NaCu2Pd2. The functional is PBE-GGA.

Calculated values
For the electronic total energy, the calculation gives -0.14224 Ha/atom. The calculation puts the formation energy at 0.109 eV/atom.

Cell: 4.0422 4.0422 10.7542 Å, 90.00 90.00 90.00°
Space group I4/mmm (No. 139)
Unique sites:
1 Na 0.0000 0.0000 0.0000 (multiplicity 2)
2 Cu 0.0000 0.0000 0.3918 (multiplicity 4)
3 Pd 0.0000 0.5000 0.2500 (multiplicity 4)

No. 10
This record from Alexandria describes an optimized crystal structure of GdHfAgRu. The functional is PBE-GGA.

Calculated values
For the electronic total energy, the calculation gives -0.34003 Ha/atom. The calculation puts the formation energy at -0.212 eV/atom.

Cell: 6.8634 6.8634 6.8634 Å, 90.00 90.00 90.00°
Space group F-43m (No. 216)
Unique sites:
1 Gd 0.0000 0.0000 0.0000 (multiplicity 4)
2 Hf 0.0000 0.0000 0.5000 (multiplicity 4)
3 Ag 0.2500 0.2500 0.7500 (multiplicity 4)
4 Ru 0.2500 0.2500 0.2500 (multiplicity 4)

No. 11
This record from Alexandria describes an optimized crystal structure of CeTaBe17. The functional is PBE-GGA.

Calculated values
For the electronic total energy, the calculation gives -0.16092 Ha/atom. The calculation puts the formation energy at -0.109 eV/atom.

Cell: 7.5561 7.5561 11.0648 Å, 90.00 90.00 120.00°
Space group R3m (No. 160, hexagonal axes)
Unique sites:
1 Ce 0.0000 0.0000 0.0000 (multiplicity 3)
2 Ta 0.0000 0.0000 0.3257 (multiplicity 3)
3 Be 0.0000 0.0000 0.5618 (multiplicity 3)
4 Be 0.0000 0.0000 0.7527 (multiplicity 3)
5 Be 0.0046 0.5023 0.1589 (multiplicity 9)
6 Be 0.0506 0.3803 0.3280 (multiplicity 18)
7 Be 0.1683 0.3366 0.1544 (multiplicity 9)
8 Be 0.1687 0.3373 0.8382 (multiplicity 9)

No. 12
This record from Alexandria describes an optimized crystal structure of AcSbPt2. The functional is PBE-GGA.

Calculated values
For the electronic total energy, the calculation gives -0.21069 Ha/atom. For the formation energy without anion corrections, the calculation gives -0.6549 eV per atom.

Cell: 7.2154 7.2154 7.2154 Å, 90.00 90.00 90.00°
Space group Fm-3m (No. 225)
Unique sites:
1 Ac 0.0000 0.0000 0.0000 (multiplicity 4)
2 Sb 0.0000 0.0000 0.5000 (multiplicity 4)
3 Pt 0.2500 0.2500 0.2500 (multiplicity 8)

Copy entry 9 word for word.
This record from Alexandria describes an optimized crystal structure of NaCu2Pd2. The functional is PBE-GGA.

Calculated values
For the electronic total energy, the calculation gives -0.14224 Ha/atom. The calculation puts the formation energy at 0.109 eV/atom.

Cell: 4.0422 4.0422 10.7542 Å, 90.00 90.00 90.00°
Space group I4/mmm (No. 139)
Unique sites:
1 Na 0.0000 0.0000 0.0000 (multiplicity 2)
2 Cu 0.0000 0.0000 0.3918 (multiplicity 4)
3 Pd 0.0000 0.5000 0.2500 (multiplicity 4)

> What is the electronic total energy in the eleventh record?

-0.16092 Ha/atom